An optimized crystal structure of Pu3Ag2. Source: Alexandria via LeMat-Bulk, functional PBE.

Cell and atoms, written as CIF:
```
data_Pu3Ag2
_symmetry_space_group_name_H-M 'R -3 c'
_symmetry_Int_Tables_number 167
_symmetry_space_group_name_Hall '-R 3 2"c'
_cell_length_a 8.1162
_cell_length_b 8.1162
_cell_length_c 14.3951
_cell_angle_alpha 90.00
_cell_angle_beta 90.00
_cell_angle_gamma 120.00
loop_
_atom_site_label
_atom_site_fract_x
_atom_site_fract_y
_atom_site_fract_z
Pu1 0.0000 0.2632 0.2500
Ag1 0.0000 0.0000 0.0931
```

Computed properties:
* total energy: -9.439 eV per atom